# Zn2GaPt2

Zn2GaPt2 after structural relaxation (PBE-GGA, Alexandria via LeMat-Bulk).

## Properties
energy relative to the elements: -2.3 eV per formula unit
symmetry: P4/mbm, No. 127
energy above the lowest structure with this stoichiometry: 0.0227 eV/atom

a b c (Å): 6.7290 6.7290 3.5550
angles (deg): 90.00 90.00 90.00
Last column: nearest neighbours and their distance in Å.
Element x y z (fractional)
Zn  0.1453  0.3547  0.0000  6 Pt 2.60-2.69, 1 Zn 2.77
Zn  0.3547  0.8547  0.0000  6 Pt 2.60-2.69, 1 Zn 2.77
Zn  0.6453  0.1453  0.0000  6 Pt 2.60-2.69, 1 Zn 2.77
Zn  0.8547  0.6453  0.0000  6 Pt 2.60-2.69, 1 Zn 2.77
Ga  0.0000  0.0000  0.5000  4 Pt 2.55
Ga  0.5000  0.5000  0.5000  4 Pt 2.55
Pt  0.1547  0.6547  0.5000  2 Ga 2.55, 6 Zn 2.60-2.69
Pt  0.3453  0.1547  0.5000  2 Ga 2.55, 6 Zn 2.60-2.69
Pt  0.6547  0.8453  0.5000  2 Ga 2.55, 6 Zn 2.60-2.69
Pt  0.8453  0.3453  0.5000  2 Ga 2.55, 6 Zn 2.60-2.69